1.
First-principles (PBE-GGA) data for crystalline GaAsS4 at its relaxed geometry, as listed in Alexandria via LeMat-Bulk.

Properties
Fermi-level density of states: 3.87 states/eV per cell
Calculated total energy: -49.7 eV per cell
Raw formation energy: -11 kJ per mole of atoms
V: 273 Å³ per cell
Magnetization: 0.00 Bohr magnetons per cell

Lattice parameters (Å, degrees): 14.5755 3.4049 6.0361 90.00 114.34 90.00
Space group C2/m (No. 12)
Symmetry-distinct sites (fractional):
Ga  0.0000  0.0000  0.0000 (multiplicity 2)
As  0.0000  0.5000  0.5000 (multiplicity 2)
S  0.1049  0.5000  0.9297 (multiplicity 4)
S  0.1084  0.0000  0.4461 (multiplicity 4)

=====

2.
First-principles (PBE-GGA) data for crystalline GaAs2S6 at its relaxed geometry, as listed in Alexandria via LeMat-Bulk.

Properties
Fermi-level density of states: 0.14 states/eV per cell
Calculated total energy: -75.6 eV per cell
Raw formation energy: -8 kJ per mole of atoms
V: 500 Å³ per cell
Magnetization: 2.02 Bohr magnetons per cell

Lattice parameters (Å, degrees): 6.2472 8.6909 10.8910 90.00 122.25 90.00
Space group P2_1/c (No. 14)
Symmetry-distinct sites (fractional):
Ga  0.0000  0.0000  0.0000 (multiplicity 2)
As  0.3579  0.0613  0.8195 (multiplicity 4)
S  0.0325  0.5751  0.0764 (multiplicity 4)
S  0.2660  0.6385  0.4219 (multiplicity 4)
S  0.3480  0.0501  0.2161 (multiplicity 4)

=====

| no. | calculated density (g/cm3) |
| --- | --- |
| 1 | 3.321 |
| 2 | 2.736 |